No. 1
Here is Sc2Ga6Fe after structural relaxation from Alexandria. Energies are from GGA-PBE.

The value obtained for the density of states at the Fermi level is 6.5 states/eV/f.u. For the energy of formation from the pure elements, the calculation gives -184.8 meV per atom. The value obtained for the total magnetization is 0.00 μB/cell. Its total energy is -4.5500 eV/atom.

The space group is C2/m (No. 12) and the conventional cell measures 17.531, 6.007 and 3.211 Å, with angles of 90.00, 99.75 and 90.00 degrees. Symmetry generates all atoms from Sc at (0.228, 0.000, 0.214), Ga at (0.000, 0.202, 0.000), Ga at (0.125, 0.276, 0.611) and Fe at (0.000, 0.500, 0.500).

***

No. 2
Here is PaIn2Cu after structural relaxation from Alexandria. Energies are from GGA-PBE.

The value obtained for the density of states at the Fermi level is 4.3 states/eV/f.u. Its energy above the most stable polymorph in this dataset is 23 meV per atom. For the energy of formation from the pure elements, the calculation gives 58.7 meV per atom. The value obtained for the total magnetization is 0.00 μB/cell. Its total energy is -4.7086 eV/atom.

The space group is R3m (No. 160, hexagonal axes) and the conventional cell measures 3.1989, 3.1989 and 29.4463 Å, with angles of 90.00, 90.00 and 120.00 degrees. Symmetry generates all atoms from Pa at (0.0000, 0.0000, 0.0000), In at (0.0000, 0.0000, 0.2382), In at (0.0000, 0.0000, 0.4296) and Cu at (0.0000, 0.0000, 0.8342).

***

No. 3
Here is Ba3Si2Ge4 after structural relaxation from Alexandria. Energies are from GGA-PBE.

The value obtained for the density of states at the Fermi level is 3.6 states/eV/f.u. Its energy above the most stable polymorph in this dataset is 64 meV per atom. The value obtained for the total magnetization is 0.00 μB/cell. Its total energy is -4.2607 eV/atom. As for the uncorrected formation energy: -0.3625 eV/atom.

The space group is C2/m (No. 12) and the conventional cell measures 12.461, 4.504 and 9.176 Å, with angles of 90.00, 107.78 and 90.00 degrees. Symmetry generates all atoms from Ba at (0.000, 0.000, 0.000), Ba at (0.102, 0.500, 0.688), Si at (0.208, 0.500, 0.356), Ge at (0.126, 0.000, 0.397) and Ge at (0.218, 0.500, 0.065).

***

No. 4
Here is BaAc2Dy after structural relaxation from Alexandria. Energies are from GGA-PBE.

The value obtained for the density of states at the Fermi level is 5.7 states/eV/f.u. Its energy above the most stable polymorph in this dataset is 99 meV per atom. For the energy of formation from the pure elements, the calculation gives 177.0 meV per atom. The value obtained for the total magnetization is 0.00 μB/cell. Its total energy is -3.5084 eV/atom.

The space group is R-3m (No. 166, hexagonal axes) and the conventional cell measures 3.8834, 3.8834 and 41.2107 Å, with angles of 90.00, 90.00 and 120.00 degrees. Symmetry generates all atoms from Ba at (0.0000, 0.0000, 0.0000), Ac at (0.0000, 0.0000, 0.0946) and Dy at (0.0000, 0.0000, 0.5000).

***

No. 5
Here is Nb2VAu2 after structural relaxation from Alexandria. Energies are from GGA-PBE.

The value obtained for the density of states at the Fermi level is 4.1 states/eV/f.u. Its energy above the most stable polymorph in this dataset is 0 meV per atom. For the energy of formation from the pure elements, the calculation gives 341.0 meV per atom. The value obtained for the total magnetization is 0.57 μB/cell. Its total energy is -6.8216 eV/atom.

The space group is P4/mbm (No. 127) and the conventional cell measures 6.781, 6.781 and 4.010 Å, with angles of 90.00, 90.00 and 90.00 degrees. Symmetry generates all atoms from Nb at (0.154, 0.346, 0.000), V at (0.000, 0.000, 0.000) and Au at (0.151, 0.651, 0.500).

***

No. 6
Here is Nd3Sm8Dy2 after structural relaxation from Alexandria. Energies are from GGA-PBE.

The value obtained for the density of states at the Fermi level is 20.6 states/eV/f.u. Its energy above the most stable polymorph in this dataset is 66 meV per atom. For the energy of formation from the pure elements, the calculation gives 223.7 meV per atom. The value obtained for the total magnetization is 0.00 μB/cell. Its total energy is -4.4887 eV/atom.

The space group is C2/m (No. 12) and the conventional cell measures 20.395, 7.742 and 5.766 Å, with angles of 90.00, 90.04 and 90.00 degrees. Symmetry generates all atoms from Nd at (0.000, 0.000, 0.000), Nd at (0.000, 0.290, 0.500), Sm at (0.108, 0.291, 0.000), Sm at (0.135, 0.000, 0.499), Sm at (0.173, 0.500, 0.501) and Dy at (0.242, 0.000, 0.998).

***

No. 7
Here is La12Sm5Dy2 after structural relaxation from Alexandria. Energies are from GGA-PBE.

The value obtained for the density of states at the Fermi level is 32.5 states/eV/f.u. Its energy above the most stable polymorph in this dataset is 40 meV per atom. For the energy of formation from the pure elements, the calculation gives 150.8 meV per atom. The value obtained for the total magnetization is 0.00 μB/cell. Its total energy is -4.6876 eV/atom.

The space group is C2/m (No. 12) and the conventional cell measures 19.573, 7.660 and 10.154 Å, with angles of 90.00, 116.68 and 90.00 degrees. Symmetry generates all atoms from La at (0.004, 0.000, 0.210), La at (0.013, 0.500, 0.342), La at (0.159, 0.249, 0.846), La at (0.166, 0.233, 0.497), Sm at (0.000, 0.000, 0.500), Sm at (0.174, 0.000, 0.166), Sm at (0.177, 0.500, 0.194) and Dy at (0.000, 0.301, 0.000).

***

No. 8
Here is Zr7Co2Au2 after structural relaxation from Alexandria. Energies are from GGA-PBE.

The value obtained for the density of states at the Fermi level is 11.0 states/eV/f.u. Its energy above the most stable polymorph in this dataset is 0 meV per atom. For the energy of formation from the pure elements, the calculation gives -314.0 meV per atom. The value obtained for the total magnetization is 0.00 μB/cell. Its total energy is -7.6416 eV/atom.

The space group is Imm2 (No. 44) and the conventional cell measures 3.348, 14.523 and 9.200 Å, with angles of 90.00, 90.00 and 90.00 degrees. Symmetry generates all atoms from Zr at (0.000, 0.000, 0.000), Zr at (0.000, 0.130, 0.570), Zr at (0.000, 0.317, 0.365), Zr at (0.000, 0.352, 0.726), Co at (0.000, 0.235, 0.055), Au at (0.000, 0.000, 0.331) and Au at (0.000, 0.500, 0.234).

***

No. 9
Here is TaAgTe2 after structural relaxation from Alexandria. Energies are from GGA-PBE.

The value obtained for the density of states at the Fermi level is 3.3 states/eV/f.u. The value obtained for the total magnetization is 3.25 μB/cell. Its total energy is -4.5039 eV/atom. As for the uncorrected formation energy: 0.7429 eV/atom.

The space group is F-43m (No. 216) and the conventional cell measures 7.127, 7.127 and 7.127 Å, with angles of 90.00, 90.00 and 90.00 degrees. Symmetry generates all atoms from Ta at (0.000, 0.000, 0.000), Ag at (0.250, 0.250, 0.250), Te at (0.000, 0.000, 0.500) and Te at (0.250, 0.250, 0.750).

***

No. 10
Here is Tb2SmHoTm after structural relaxation from Alexandria. Energies are from GGA-PBE.

The value obtained for the density of states at the Fermi level is 7.4 states/eV/f.u. For the energy of formation from the pure elements, the calculation gives 402.9 meV per atom. The value obtained for the total magnetization is 0.00 μB/cell. Its total energy is -4.2029 eV/atom.

The space group is Cmcm (No. 63) and the conventional cell measures 8.371, 11.417 and 7.192 Å, with angles of 90.00, 90.00 and 90.00 degrees. Symmetry generates all atoms from Tb at (0.191, 0.000, 0.000), Sm at (0.000, 0.227, 0.250), Ho at (0.000, 0.499, 0.250) and Tm at (0.000, 0.223, 0.750).